Entry 1:
The following is a DFT calculation (PBE) of a relaxed NdTiS crystal.

Cell: 4.591 3.669 8.328 Å, 102.73 106.00 90.00°
Site moments in Bohr magnetons follow the coordinates.
Positions (direct):
Nd  0.334  0.834  0.667  0.00
Nd  0.666  0.166  0.333  0.00
Ti  0.249  0.500  0.000  0.14
Ti  0.751  0.500  0.000  0.14
S  0.850  0.350  0.700  0.00
S  0.150  0.650  0.300  0.00

## Properties
The calculation puts the total energy at -38.85 eV per cell.

=====

Entry 2:
The following is a DFT calculation (PBE) of a relaxed ScBiB3 crystal.

Cell: 4.615 4.615 4.615 Å, 90.00 90.00 90.00°
Positions (direct):
B  0.000  0.000  0.500
B  0.000  0.500  0.000
B  0.500  0.000  0.000
Bi  0.000  0.000  0.000
Sc  0.500  0.500  0.500

## Properties
The calculation puts the total energy at -19.70 eV per cell. As for the energy above the most stable polymorph in this dataset: 393 meV/atom. Its formation energy is 2.11 eV per atom.

=====

Repeat the second record exactly.
The following is a DFT calculation (PBE) of a relaxed ScBiB3 crystal.

Cell: 4.615 4.615 4.615 Å, 90.00 90.00 90.00°
Positions (direct):
B  0.000  0.000  0.500
B  0.000  0.500  0.000
B  0.500  0.000  0.000
Bi  0.000  0.000  0.000
Sc  0.500  0.500  0.500

## Properties
The calculation puts the total energy at -19.70 eV per cell. As for the energy above the most stable polymorph in this dataset: 393 meV/atom. Its formation energy is 2.11 eV per atom.